The following is a PBE calculation of RbHfBi3 after structural relaxation, from Alexandria via LeMat-Bulk.

It has space group Pm-3m (No. 221), with a = 5.7469 Å, b = 5.7469 Å, c = 5.7469 Å, α = 90.00°, β = 90.00° and γ = 90.00°. The inequivalent atoms are Rb at (0.0000, 0.0000, 0.0000), Hf at (0.5000, 0.5000, 0.5000) and Bi at (0.0000, 0.5000, 0.5000).

The volume comes out at 37.96 Å³/atom. For the energy relative to the elements, the calculation gives -70 meV/atom. The calculation puts the total energy at -4.583 eV per atom. The value obtained for the magnetization is 0.0 μB/f.u. The crystal system is cubic.